Entry from Alexandria via LeMat-Bulk: LaSc2Ag after structural relaxation (PBE).

Total energy, eV per cell: -20.8
Formation energy from the elements, eV/atom: -0.08
ΔE to the lowest computed polymorph, kJ per mole of atoms: 0.00

Cell lengths 3.5050, 3.5050, 8.1812 Å; angles 90.00, 90.00, 90.00 degrees
Space group P4/mmm (No. 123)
Unique sites:
1 La 0.0000 0.0000 0.0000 x1
2 Sc 0.5000 0.5000 0.3002 x2
3 Ag 0.0000 0.0000 0.5000 x1